VASP calculation (GGA-PBE) on Rb2HoBr4 after structural relaxation.

It has space group I4/mmm (No. 139), with a = 5.6080 Å, b = 5.6080 Å, c = 17.5640 Å, α = 90.00°, β = 90.00° and γ = 90.00°. The distinct sites, in fractional coordinates, are Rb at (0.0000, 0.0000, 0.1407), Ho at (0.0000, 0.0000, 0.5000), Br at (0.0000, 0.0000, 0.3376) and Br at (0.0000, 0.5000, 0.0000).

The value obtained for the total DFT energy (no corrections) is -3.482 eV per atom. Its calculated density is 3.94 g cm⁻³. Its total magnetization is 0.8 Bohr magnetons per cell.

---

VASP calculation (GGA-PBE) on Rb2HoBr6 after structural relaxation.

It has space group Amm2 (No. 38), with a = 4.5191 Å, b = 15.2717 Å, c = 8.7896 Å, α = 90.00°, β = 90.00° and γ = 90.00°. The distinct sites, in fractional coordinates, are Rb at (0.0000, 0.1670, 0.0000), Ho at (0.5000, 0.0000, 0.5015), Br at (0.0000, 0.0000, 0.7296), Br at (0.0000, 0.1138, 0.3865), Br at (0.5000, 0.0000, 0.1575) and Br at (0.5000, 0.1721, 0.6720).

The value obtained for the total DFT energy (no corrections) is -3.326 eV per atom. Its calculated density is 4.46 g cm⁻³. Its total magnetization is 2.1 Bohr magnetons per cell.

---

VASP calculation (GGA-PBE) on RbHo2Br7 after structural relaxation.

It has space group Cmmm (No. 65), with a = 8.9810 Å, b = 14.4938 Å, c = 5.5759 Å, α = 90.00°, β = 90.00° and γ = 90.00°. The distinct sites, in fractional coordinates, are Rb at (0.0000, 0.0000, 0.0000), Ho at (0.0000, 0.3026, 0.5000), Br at (0.0000, 0.2971, 0.0000), Br at (0.0000, 0.5000, 0.5000) and Br at (0.1879, 0.1397, 0.5000).

The value obtained for the total DFT energy (no corrections) is -3.990 eV per atom. Its calculated density is 4.46 g cm⁻³. Its total magnetization is 0.0 Bohr magnetons per cell.

---

VASP calculation (GGA-PBE) on Rb4HoBr6 after structural relaxation.

It has space group P4/mnc (No. 128), with a = 9.6966 Å, b = 9.6966 Å, c = 10.1942 Å, α = 90.00°, β = 90.00° and γ = 90.00°. The distinct sites, in fractional coordinates, are Rb at (0.1794, 0.3206, 0.2500), Ho at (0.0000, 0.0000, 0.0000), Br at (0.0000, 0.0000, 0.2779) and Br at (0.0817, 0.7165, 0.0000).

The value obtained for the total DFT energy (no corrections) is -3.320 eV per atom. Its calculated density is 3.42 g cm⁻³. Its total magnetization is 1.1 Bohr magnetons per cell.

---

VASP calculation (GGA-PBE) on RbHoSnBr6 after structural relaxation.

It has space group P312 (No. 149), with a = 7.5840 Å, b = 7.5840 Å, c = 7.5357 Å, α = 90.00°, β = 90.00° and γ = 120.00°. The distinct sites, in fractional coordinates, are Rb at (0.0000, 0.0000, 0.0000), Ho at (0.6667, 0.3333, 0.5000), Sn at (0.3333, 0.6667, 0.5000) and Br at (0.3801, 0.0197, 0.7168).

The value obtained for the total DFT energy (no corrections) is -3.687 eV per atom. Its calculated density is 3.75 g cm⁻³. Its total magnetization is 0.0 Bohr magnetons per cell.

---

VASP calculation (GGA-PBE) on RbSrHoBr6 after structural relaxation.

It has space group P-31c (No. 163), with a = 7.7190 Å, b = 7.7190 Å, c = 14.7026 Å, α = 90.00°, β = 90.00° and γ = 120.00°. The distinct sites, in fractional coordinates, are Rb at (0.0000, 0.0000, 0.0000), Sr at (0.3333, 0.6667, 0.2500), Ho at (0.3333, 0.6667, 0.7500) and Br at (0.0257, 0.3843, 0.6387).

The value obtained for the total DFT energy (no corrections) is -3.876 eV per atom. Its calculated density is 3.58 g cm⁻³. Its total magnetization is 0.0 Bohr magnetons per cell.

---

VASP calculation (GGA-PBE) on RbHoTl2Br6 after structural relaxation.

It has space group P1 (No. 1), with a = 8.2151 Å, b = 8.2205 Å, c = 8.5201 Å, α = 61.19°, β = 61.18° and γ = 60.03°. The distinct sites, in fractional coordinates, are Rb at (0.0000, 0.0000, 0.0000), Ho at (0.4893, 0.4896, 0.5314), Tl at (0.2860, 0.2869, 0.1407), Tl at (0.7968, 0.7976, 0.6087), Br at (0.1401, 0.4012, 0.7802), Br at (0.2573, 0.8258, 0.3177), Br at (0.4008, 0.6780, 0.7807), Br at (0.5992, 0.2575, 0.3176), Br at (0.6778, 0.1409, 0.7805) and Br at (0.8257, 0.5994, 0.3179).

The value obtained for the total DFT energy (no corrections) is -3.495 eV per atom. Its calculated density is 4.57 g cm⁻³. Its total magnetization is 0.0 Bohr magnetons per cell.

---

VASP calculation (GGA-PBE) on RbHoVBr6 after structural relaxation.

It has space group P-31c (No. 163), with a = 7.0285 Å, b = 7.0285 Å, c = 15.7202 Å, α = 90.00°, β = 90.00° and γ = 120.00°. The distinct sites, in fractional coordinates, are Rb at (0.0000, 0.0000, 0.0000), Ho at (0.3333, 0.6667, 0.2500), V at (0.3333, 0.6667, 0.7500) and Br at (0.0156, 0.3744, 0.6504).

The value obtained for the total DFT energy (no corrections) is -4.247 eV per atom. Its calculated density is 3.86 g cm⁻³. Its total magnetization is 6.0 Bohr magnetons per cell.